Material: La6ZnIn3
Method: DFT, GGA-PBE
State: optimized geometry

Cell lengths 9.635, 12.062, 5.562 Å; angles 90.00, 90.00, 90.00 degrees
Fractional coordinates of all 20 atoms:
La (0.003, 0.242, 0.000)
La (0.159, 0.070, 0.500)
La (0.174, 0.429, 0.500)
La (0.326, 0.929, 0.000)
La (0.341, 0.570, 0.000)
La (0.497, 0.742, 0.500)
La (0.503, 0.258, 0.500)
La (0.659, 0.430, 0.000)
La (0.674, 0.071, 0.000)
La (0.826, 0.571, 0.500)
La (0.841, 0.930, 0.500)
La (0.997, 0.758, 0.000)
Zn (0.000, 0.000, 0.000)
Zn (0.500, 0.500, 0.500)
In (0.000, 0.500, 0.000)
In (0.164, 0.749, 0.500)
In (0.336, 0.249, 0.000)
In (0.500, 0.000, 0.500)
In (0.664, 0.751, 0.000)
In (0.836, 0.251, 0.500)

Results
offset from the most stable computed form: 68 meV/atom
density: 6.4 Mg/m³
ΔH_f (0 K): -0.30 eV/atom

=====

Material: La3Zn4In4
Method: DFT, GGA-PBE
State: optimized geometry

Cell lengths 8.920, 8.920, 8.920 Å; angles 149.67, 130.20, 59.43 degrees
Fractional coordinates of all 11 atoms:
La (0.000, 0.000, 0.000)
La (0.373, 0.873, 0.500)
La (0.627, 0.127, 0.500)
Zn (0.219, 0.219, 0.000)
Zn (0.330, 0.500, 0.830)
Zn (0.670, 0.500, 0.170)
Zn (0.781, 0.781, 0.000)
In (0.032, 0.338, 0.694)
In (0.356, 0.662, 0.694)
In (0.644, 0.338, 0.306)
In (0.968, 0.662, 0.306)

Results
density: 7.0 Mg/m³
ΔH_f (0 K): -0.37 eV/atom

=====

Material: La2Zn2In
Method: DFT, GGA-PBE
State: optimized geometry

Cell lengths 6.011, 6.011, 7.823 Å; angles 90.00, 90.00, 90.00 degrees
Fractional coordinates of all 10 atoms:
La (0.000, 0.500, 0.250)
La (0.000, 0.500, 0.750)
La (0.500, 0.000, 0.250)
La (0.500, 0.000, 0.750)
Zn (0.000, 0.000, 0.148)
Zn (0.000, 0.000, 0.852)
Zn (0.500, 0.500, 0.352)
Zn (0.500, 0.500, 0.648)
In (0.000, 0.000, 0.500)
In (0.500, 0.500, 0.000)

Results
density: 6.1 Mg/m³
ΔH_f (0 K): -0.15 eV/atom

=====

Material: La3Zn9In2
Method: DFT, GGA-PBE
State: optimized geometry

Cell lengths 8.669, 8.669, 8.669 Å; angles 148.88, 117.37, 71.59 degrees
Fractional coordinates of all 14 atoms:
La (0.000, 0.000, 0.000)
La (0.291, 0.291, 0.000)
La (0.709, 0.709, 0.000)
Zn (0.023, 0.660, 0.362)
Zn (0.131, 0.852, 0.279)
Zn (0.298, 0.660, 0.638)
Zn (0.427, 0.148, 0.279)
Zn (0.500, 0.000, 0.500)
Zn (0.573, 0.852, 0.721)
Zn (0.702, 0.340, 0.362)
Zn (0.869, 0.148, 0.721)
Zn (0.977, 0.340, 0.638)
In (0.310, 0.500, 0.810)
In (0.690, 0.500, 0.190)

Results
density: 7.0 Mg/m³
ΔH_f (0 K): -0.34 eV/atom

=====

Material: LaZn4In
Method: DFT, GGA-PBE
State: optimized geometry

Cell lengths 5.585, 5.585, 5.585 Å; angles 60.00, 60.00, 60.00 degrees
Fractional coordinates of all 6 atoms:
La (0.000, 0.000, 0.000)
Zn (0.124, 0.625, 0.625)
Zn (0.625, 0.124, 0.625)
Zn (0.625, 0.625, 0.124)
Zn (0.625, 0.625, 0.625)
In (0.250, 0.250, 0.250)

Results
density: 6.9 Mg/m³
ΔH_f (0 K): -0.17 eV/atom

=====

Material: La2ZnIn12
Method: DFT, GGA-PBE
State: optimized geometry

Cell lengths 6.929, 6.929, 17.139 Å; angles 90.00, 90.00, 90.00 degrees
Fractional coordinates of all 30 atoms:
La (0.250, 0.750, 0.244)
La (0.250, 0.750, 0.756)
La (0.750, 0.250, 0.244)
La (0.750, 0.250, 0.756)
Zn (0.250, 0.750, 0.000)
Zn (0.750, 0.250, 0.000)
In (0.001, 0.501, 0.088)
In (0.001, 0.999, 0.912)
In (0.086, 0.586, 0.572)
In (0.086, 0.914, 0.428)
In (0.250, 0.250, 0.183)
In (0.250, 0.250, 0.344)
In (0.250, 0.250, 0.656)
In (0.250, 0.250, 0.817)
In (0.414, 0.586, 0.428)
In (0.414, 0.914, 0.572)
In (0.499, 0.501, 0.912)
In (0.499, 0.999, 0.088)
In (0.501, 0.001, 0.912)
In (0.501, 0.499, 0.088)
In (0.586, 0.086, 0.428)
In (0.586, 0.414, 0.572)
In (0.750, 0.750, 0.183)
In (0.750, 0.750, 0.344)
In (0.750, 0.750, 0.656)
In (0.750, 0.750, 0.817)
In (0.914, 0.086, 0.572)
In (0.914, 0.414, 0.428)
In (0.999, 0.001, 0.088)
In (0.999, 0.499, 0.912)

Results
density: 6.9 Mg/m³
ΔH_f (0 K): -0.18 eV/atom

=====

Material: La6ZnIn5
Method: DFT, GGA-PBE
State: optimized geometry

Cell lengths 5.562, 7.859, 8.782 Å; angles 90.00, 108.28, 90.00 degrees
Fractional coordinates of all 12 atoms:
La (0.000, 0.243, 0.000)
La (0.000, 0.757, 0.000)
La (0.337, 0.245, 0.673)
La (0.337, 0.755, 0.673)
La (0.663, 0.245, 0.327)
La (0.663, 0.755, 0.327)
Zn (0.500, 0.000, 0.000)
In (0.166, 0.000, 0.333)
In (0.168, 0.500, 0.336)
In (0.500, 0.500, 0.000)
In (0.832, 0.500, 0.664)
In (0.834, 0.000, 0.667)

Results
density: 6.7 Mg/m³
ΔH_f (0 K): -0.48 eV/atom

=====

Material: La4ZnIn2
Method: DFT, GGA-PBE
State: optimized geometry

Cell lengths 9.389, 9.389, 9.389 Å; angles 33.92, 33.92, 33.92 degrees
Fractional coordinates of all 7 atoms:
La (0.123, 0.123, 0.123)
La (0.374, 0.374, 0.374)
La (0.626, 0.626, 0.626)
La (0.877, 0.877, 0.877)
Zn (0.500, 0.500, 0.500)
In (0.249, 0.249, 0.249)
In (0.751, 0.751, 0.751)

Results
density: 6.2 Mg/m³
ΔH_f (0 K): -0.31 eV/atom

=====

Material: La4Zn3In
Method: DFT, GGA-PBE
State: optimized geometry

Cell lengths 9.363, 9.363, 9.363 Å; angles 33.42, 33.42, 33.42 degrees
Fractional coordinates of all 8 atoms:
La (0.120, 0.120, 0.120)
La (0.370, 0.370, 0.370)
La (0.630, 0.630, 0.630)
La (0.880, 0.880, 0.880)
Zn (0.000, 0.000, 0.000)
Zn (0.248, 0.248, 0.248)
Zn (0.752, 0.752, 0.752)
In (0.500, 0.500, 0.500)

Results
density: 6.5 Mg/m³
ΔH_f (0 K): -0.36 eV/atom

=====

Material: La2Zn2In
Method: DFT, GGA-PBE
State: optimized geometry

Cell lengths 3.696, 3.696, 19.963 Å; angles 90.00, 90.00, 90.00 degrees
Fractional coordinates of all 10 atoms:
La (0.000, 0.000, 0.110)
La (0.000, 0.000, 0.890)
La (0.500, 0.500, 0.390)
La (0.500, 0.500, 0.610)
Zn (0.000, 0.500, 0.250)
Zn (0.000, 0.500, 0.750)
Zn (0.500, 0.000, 0.250)
Zn (0.500, 0.000, 0.750)
In (0.000, 0.000, 0.500)
In (0.500, 0.500, 0.000)

Results
density: 6.4 Mg/m³
ΔH_f (0 K): -0.20 eV/atom

=====

Material: La12ZrIn3
Method: DFT, GGA-PBE
State: optimized geometry

Cell lengths 5.054, 5.054, 20.368 Å; angles 90.00, 90.00, 90.00 degrees
Fractional coordinates of all 16 atoms:
La (0.000, 0.000, 0.000)
La (0.000, 0.000, 0.249)
La (0.000, 0.000, 0.500)
La (0.000, 0.000, 0.751)
La (0.000, 0.500, 0.125)
La (0.000, 0.500, 0.377)
La (0.000, 0.500, 0.623)
La (0.000, 0.500, 0.875)
La (0.500, 0.000, 0.125)
La (0.500, 0.000, 0.377)
La (0.500, 0.000, 0.623)
La (0.500, 0.000, 0.875)
Zr (0.500, 0.500, 0.500)
In (0.500, 0.500, 0.000)
In (0.500, 0.500, 0.249)
In (0.500, 0.500, 0.751)

Results
density: 6.7 Mg/m³
ΔH_f (0 K): -0.19 eV/atom

=====

Material: LaZrIn4
Method: DFT, GGA-PBE
State: optimized geometry

Cell lengths 5.980, 5.980, 5.980 Å; angles 60.00, 60.00, 60.00 degrees
Fractional coordinates of all 6 atoms:
La (0.000, 0.000, 0.000)
Zr (0.750, 0.750, 0.750)
In (0.375, 0.375, 0.375)
In (0.375, 0.375, 0.874)
In (0.375, 0.874, 0.375)
In (0.874, 0.375, 0.375)

Results
density: 7.6 Mg/m³
ΔH_f (0 K): -0.22 eV/atom

=====

- What is the formula in the tenth record?
  La2Zn2In